Entry 1:
DFT (PBE) results for a relaxed Zn3InAu5 crystal.

a = 5.971 Å, b = 7.852 Å, c = 7.851 Å
α = 120.00°, β = 90.00°, γ = 90.00°
Fractional positions:
Zn  0.750  0.354  0.354
Zn  0.750  0.000  0.646
Zn  0.750  0.646  0.000
Zn  0.250  0.646  0.646
Zn  0.250  0.000  0.354
Zn  0.250  0.354  0.000
In  0.000  0.000  0.000
In  0.500  0.000  0.000
Au  0.000  0.667  0.333
Au  0.500  0.333  0.667
Au  0.000  0.333  0.667
Au  0.500  0.667  0.333
Au  0.750  0.682  0.682
Au  0.750  0.000  0.318
Au  0.750  0.318  0.000
Au  0.250  0.318  0.318
Au  0.250  0.000  0.682
Au  0.250  0.682  0.000

Summary:
Calculated density (Mg/m³): 13.50
Magnetic moment (μB per cell): 0.000
Crystal system: hexagonal
Final energy (eV for the cell shown): -48.1
Space group: No. 193

---

Entry 2:
DFT (PBE) results for a relaxed LaAlPt2 crystal.

a = 6.950 Å, b = 6.950 Å, c = 6.950 Å
α = 149.69°, β = 149.76°, γ = 43.35°
Fractional positions:
Al  0.533  0.533  0.000
Pt  0.994  0.994  0.000
Pt  0.675  0.175  0.500
La  0.298  0.798  0.500

Summary:
Calculated density (Mg/m³): 10.85
Magnetic moment (μB per cell): 0.000
Crystal system: orthorhombic
Final energy (eV for the cell shown): -24.3
Space group: No. 44

---

Entry 3:
DFT (PBE) results for a relaxed Ta2Cd2P crystal.

a = 3.615 Å, b = 3.615 Å, c = 7.951 Å
α = 76.86°, β = 76.86°, γ = 90.00°
Fractional positions:
P  0.000  0.000  0.000
Cd  0.750  0.250  0.500
Cd  0.250  0.750  0.500
Ta  0.416  0.416  0.168
Ta  0.584  0.584  0.832

Summary:
Calculated density (Mg/m³): 10.43
Magnetic moment (μB per cell): 0.000
Energy above the most stable polymorph in this dataset (eV/atom): 0.607
Crystal system: tetragonal
Space group: No. 139

---

Entry 4:
DFT (PBE) results for a relaxed CePr2ThSe4 crystal.

a = 4.221 Å, b = 7.361 Å, c = 7.315 Å
α = 70.71°, β = 90.00°, γ = 90.00°
Fractional positions:
Ce  0.500  0.500  0.000
Pr  0.000  0.000  0.000
Pr  0.500  0.000  0.500
Th  0.000  0.500  0.500
Se  0.000  0.746  0.752
Se  0.000  0.254  0.248
Se  0.500  0.747  0.251
Se  0.500  0.253  0.749

Summary:
Calculated density (Mg/m³): 7.51
Magnetic moment (μB per cell): 0.928
Crystal system: monoclinic
Energy relative to the elements, uncorrected (kJ per mole of atoms): -170
Space group: No. 10